(1)
# MgSc4Zn

MgSc4Zn after structural relaxation (PBE, Alexandria).

Cell: 5.851 5.851 5.851 Å, 60.00 60.00 60.00°
Element x y z (fractional)
1 Mg 0.000 0.000 0.000
2 Sc 0.125 0.625 0.625
3 Sc 0.625 0.125 0.625
4 Sc 0.625 0.625 0.125
5 Sc 0.625 0.625 0.625
6 Zn 0.250 0.250 0.250

- Magnetic moment: 0.000 μB per formula unit
- Total DFT energy (no corrections): -26.46 eV/cell
- V: 142 Å³ per cell
- ΔE_f: 290 meV/atom

=====

(2)
# ZrCdPd6

ZrCdPd6 after structural relaxation (PBE, Alexandria).

Cell: 4.030 4.030 8.083 Å, 90.00 90.00 90.00°
Element x y z (fractional)
1 Zr 0.000 0.000 0.000
2 Cd 0.000 0.000 0.500
3 Pd 0.000 0.500 0.245
4 Pd 0.000 0.500 0.755
5 Pd 0.500 0.000 0.245
6 Pd 0.500 0.000 0.755
7 Pd 0.500 0.500 0.000
8 Pd 0.500 0.500 0.500

- Magnetic moment: 0.000 μB per formula unit
- Total DFT energy (no corrections): -45.14 eV/cell
- V: 131 Å³ per cell
- ΔE_f: -565 meV/atom

=====

no.,polymorph energy (0 for the lowest one) (meV per atom)
1,412
2,0